Compound: ScTcRu
Source: the Alexandria database
Functional: GGA-PBE
Structure: relaxed

CIF file:
```
data_ScTcRu
_space_group_name_H-M_alt 'P 1'
_space_group_IT_number 1
_cell_length_a 5.3338
_cell_length_b 5.3347
_cell_length_c 5.3347
_cell_angle_alpha 145.73
_cell_angle_beta 145.72
_cell_angle_gamma 49.26
loop_
_space_group_symop_operation_xyz
'x,y,z'
loop_
_atom_site_label
_atom_site_fract_x
_atom_site_fract_y
_atom_site_fract_z
Ru1 0.9936 0.9937 0.0000
Sc1 0.6657 0.6656 0.0001
Tc1 0.3407 0.3407 0.0000
```

Values from the calculation:
DOS(E_F)   2.4 states/eV/f.u.
DFT total energy   -0.32367 Ha/atom
Formation energy   -150 meV per atom
Energy above the most stable polymorph in this dataset   11.7 kJ per mole of atoms
SG   I4mm